Record 1
Density functional theory data (GGA-PBEsol) for an optimized crystal structure of CdAg5.

a b c (Å): 2.9242 5.5298 6.7983
angles (deg): 105.41 90.00 105.33
Fractional coordinates of all 6 atoms:
1 Ag 0.0005 0.0010 0.0042
2 Ag 0.3885 0.7770 0.2777
3 Ag 0.6682 0.3365 0.3379
4 Ag 0.0532 0.1064 0.6057
5 Ag 0.3358 0.6716 0.6671
6 Cd 0.7204 0.4408 0.9409

## Properties
Relative energy among the computed polymorphs: 10.3 meV per atom
ΔE_f: -0.03 eV per atom
DOS at the Fermi energy: 0.2789 states/eV per atom



Record 2
Density functional theory data (GGA-PBEsol) for an optimized crystal structure of CdAg3.

a b c (Å): 5.2159 5.2159 5.2159
angles (deg): 90.00 90.00 90.00
Fractional coordinates of all 8 atoms:
1 Ag 0.0000 0.2500 0.5000
2 Ag 0.0000 0.7500 0.5000
3 Ag 0.2500 0.5000 0.0000
4 Ag 0.5000 0.0000 0.2500
5 Ag 0.5000 0.0000 0.7500
6 Ag 0.7500 0.5000 0.0000
7 Cd 0.0000 0.0000 0.0000
8 Cd 0.5000 0.5000 0.5000

## Properties
ΔE_f: 0.05 eV per atom
DOS at the Fermi energy: 0.4337 states/eV per atom



Record 3
Density functional theory data (GGA-PBEsol) for an optimized crystal structure of Cd2Ag.

a b c (Å): 2.9571 4.7529 4.7529
angles (deg): 90.00 90.00 90.00
Fractional coordinates of all 3 atoms:
1 Ag 0.0000 0.0000 0.0000
2 Cd 0.5000 0.0000 0.5000
3 Cd 0.5000 0.5000 0.0000

## Properties
Relative energy among the computed polymorphs: 95.0 meV per atom
ΔE_f: 0.03 eV per atom
DOS at the Fermi energy: 0.2922 states/eV per atom



Record 4
Density functional theory data (GGA-PBEsol) for an optimized crystal structure of CdAg3.

a b c (Å): 4.0977 4.0977 4.0977
angles (deg): 90.00 90.00 90.00
Fractional coordinates of all 4 atoms:
1 Ag 0.5000 0.5000 0.0000
2 Ag 0.5000 0.0000 0.5000
3 Ag 0.0000 0.5000 0.5000
4 Cd 0.0000 0.0000 0.0000

## Properties
ΔE_f: -0.06 eV per atom
DOS at the Fermi energy: 0.2949 states/eV per atom



Record 5
Density functional theory data (GGA-PBEsol) for an optimized crystal structure of CdAg.

a b c (Å): 2.9818 2.9818 4.6969
angles (deg): 90.00 90.00 120.00
Fractional coordinates of all 2 atoms:
1 Ag 0.0000 0.0000 0.0000
2 Cd 0.6667 0.3333 0.5000

## Properties
ΔE_f: -0.05 eV per atom
DOS at the Fermi energy: 0.3334 states/eV per atom



Record 6
Density functional theory data (GGA-PBEsol) for an optimized crystal structure of Cd2Ag3.

a b c (Å): 2.9653 2.9653 11.8065
angles (deg): 82.79 82.79 60.00
Fractional coordinates of all 5 atoms:
1 Ag 0.8011 0.8011 0.5968
2 Ag 0.1989 0.1989 0.4032
3 Ag 0.0000 0.0000 0.0000
4 Cd 0.5993 0.5993 0.2020
5 Cd 0.4007 0.4007 0.7980

## Properties
Relative energy among the computed polymorphs: 34.4 meV per atom
ΔE_f: -0.03 eV per atom
DOS at the Fermi energy: 0.2337 states/eV per atom



Record 7
Density functional theory data (GGA-PBEsol) for an optimized crystal structure of CdAg.

a b c (Å): 2.9791 5.5325 7.0982
angles (deg): 105.30 90.00 105.62
Fractional coordinates of all 6 atoms:
1 Ag 0.0017 0.0034 0.0011
2 Ag 0.3917 0.7833 0.2738
3 Ag 0.3306 0.6613 0.6705
4 Cd 0.6714 0.3428 0.3346
5 Cd 0.0456 0.0912 0.6083
6 Cd 0.7257 0.4513 0.9452

## Properties
ΔE_f: -0.06 eV per atom
DOS at the Fermi energy: 0.2948 states/eV per atom



Record 8
Density functional theory data (GGA-PBEsol) for an optimized crystal structure of Cd2Ag.

a b c (Å): 4.7360 5.2470 9.0365
angles (deg): 90.00 90.00 90.00
Fractional coordinates of all 12 atoms:
1 Ag 0.7500 0.8221 0.1665
2 Ag 0.2500 0.6779 0.6665
3 Ag 0.7500 0.3221 0.3335
4 Ag 0.2500 0.1779 0.8335
5 Cd 0.7500 0.8499 0.8304
6 Cd 0.7500 0.8305 0.4920
7 Cd 0.2500 0.6695 0.9920
8 Cd 0.2500 0.6501 0.3304
9 Cd 0.7500 0.3499 0.6696
10 Cd 0.7500 0.3305 0.0080
11 Cd 0.2500 0.1695 0.5080
12 Cd 0.2500 0.1501 0.1696

## Properties
Relative energy among the computed polymorphs: 0.0 meV per atom
ΔE_f: -0.07 eV per atom
DOS at the Fermi energy: 0.3227 states/eV per atom



Question: The lowest DOS at the Fermi energy belongs to which entry?
Answer: Cd2Ag3



Repeat the eighth record exactly.
Density functional theory data (GGA-PBEsol) for an optimized crystal structure of Cd2Ag.

a b c (Å): 4.7360 5.2470 9.0365
angles (deg): 90.00 90.00 90.00
Fractional coordinates of all 12 atoms:
1 Ag 0.7500 0.8221 0.1665
2 Ag 0.2500 0.6779 0.6665
3 Ag 0.7500 0.3221 0.3335
4 Ag 0.2500 0.1779 0.8335
5 Cd 0.7500 0.8499 0.8304
6 Cd 0.7500 0.8305 0.4920
7 Cd 0.2500 0.6695 0.9920
8 Cd 0.2500 0.6501 0.3304
9 Cd 0.7500 0.3499 0.6696
10 Cd 0.7500 0.3305 0.0080
11 Cd 0.2500 0.1695 0.5080
12 Cd 0.2500 0.1501 0.1696

## Properties
Relative energy among the computed polymorphs: 0.0 meV per atom
ΔE_f: -0.07 eV per atom
DOS at the Fermi energy: 0.3227 states/eV per atom



Question: Among the records above, which one has the highest DOS at the Fermi energy?
Answer: number 2